# 1
## SrCuPt (PBE)

Data for SrCuPt after structural relaxation.

```
6
Lattice="4.673 0.000 2.624 1.663 4.598 2.511 -0.013 0.014 5.496" Properties=species:S:1:pos:R:3 pbc="T T T"
Cu 2.336 0.000 1.312
Cu 0.000 0.000 0.000
Pt 2.330 0.007 4.060
Pt 3.168 2.299 2.567
Sr 1.616 2.881 5.331
Sr 4.707 1.731 5.300
```

As for the space-group type: Imma (74). As for the calculated total energy: -4.470 eV/atom. As for the polymorph energy (0 for the lowest one): 0 meV/atom. The total moment comes out at 0.000 μB/atom. Its formation energy is -0.5301 eV/atom.

# 2
## SrCuPt (PBE)

Data for SrCuPt after structural relaxation.

```
3
Lattice="4.607 0.000 0.000 2.303 3.990 0.000 2.303 1.330 3.762" Properties=species:S:1:pos:R:3 pbc="T T T"
Cu 2.303 1.330 0.940
Pt 0.000 0.000 0.000
Sr 4.607 2.660 1.881
```

As for the space-group type: F-43m (216). As for the calculated total energy: -4.130 eV/atom. As for the polymorph energy (0 for the lowest one): 340 meV/atom. The total moment comes out at 0.000 μB/atom. Its formation energy is -0.1900 eV/atom.

# 3
## SrCu2Pt4 (PBE)

Data for SrCu2Pt4 after structural relaxation.

```
7
Lattice="-0.313 -0.924 5.023 -1.445 -5.055 1.599 4.502 -1.835 2.562" Properties=species:S:1:pos:R:3 pbc="T T T"
Pt 3.830 -4.109 4.716
Pt -1.086 -3.704 4.468
Pt 2.504 -1.760 5.049
Pt 0.240 -6.053 4.135
Cu 1.451 -3.677 3.331
Cu 1.293 -4.137 5.852
Sr 0.000 0.000 0.000
```

As for the space-group type: C2/m (12). As for the calculated total energy: -5.096 eV/atom. The total moment comes out at 0.000 μB/atom. Its formation energy is -0.2334 eV/atom.

# 4
## SrCuPt (PBE)

Data for SrCuPt after structural relaxation.

```
6
Lattice="-0.452 3.839 -3.559 -3.941 4.423 1.389 2.261 5.402 1.655" Properties=species:S:1:pos:R:3 pbc="T T T"
Sr -1.302 12.242 -0.773
Sr -0.236 5.410 -0.516
Cu -1.408 8.725 -0.672
Cu -3.005 6.518 1.030
Pt 0.895 8.111 0.312
Pt 0.668 10.031 -1.468
```

As for the space-group type: Imma (74). As for the calculated total energy: -4.264 eV/atom. As for the polymorph energy (0 for the lowest one): 206 meV/atom. The total moment comes out at 0.000 μB/atom. Its formation energy is -0.3245 eV/atom.

# 5
## SrCu5Pt2 (PBE)

Data for SrCu5Pt2 after structural relaxation.

```
8
Lattice="-2.476 1.840 2.599 -4.659 -3.937 1.479 0.840 -2.496 5.697" Properties=species:S:1:pos:R:3 pbc="T T T"
Cu -4.285 -3.687 4.788
Cu -2.380 -3.188 6.249
Cu -1.909 -3.217 3.588
Cu -2.010 -0.906 4.987
Cu -3.914 -1.405 3.525
Sr 0.000 0.000 0.000
Pt -1.562 -1.079 2.406
Pt -4.732 -3.514 7.369
```

As for the space-group type: Immm (71). As for the calculated total energy: -4.393 eV/atom. The total moment comes out at 0.000 μB/atom. Its formation energy is -0.1125 eV/atom.

# 6
## Sr3Cu3Pt2 (PBE)

Data for Sr3Cu3Pt2 after structural relaxation.

```
16
Lattice="4.372 0.000 0.000 -2.186 5.559 0.000 0.000 0.000 16.072" Properties=species:S:1:pos:R:3 pbc="T T T"
Sr 0.000 4.754 12.054
Sr 0.000 1.567 14.672
Sr 2.186 3.991 1.401
Sr 0.000 1.567 9.437
Sr 2.186 3.991 6.636
Sr 2.186 0.805 4.018
Pt 0.000 1.667 1.857
Pt 2.186 3.892 9.894
Pt 2.186 3.892 14.215
Pt 0.000 1.667 6.179
Cu 0.000 4.732 15.190
Cu 2.186 0.827 7.154
Cu 0.000 4.732 8.918
Cu 0.000 3.063 4.018
Cu 2.186 2.496 12.054
Cu 2.186 0.827 0.882
```

As for the space-group type: Cmcm (63). As for the calculated total energy: -4.124 eV/atom. The total moment comes out at 0.000 μB/atom. Its formation energy is -0.4475 eV/atom.

# 7
## SrTbCuPt (PBE)

Data for SrTbCuPt after structural relaxation.

```
4
Lattice="-0.309 -1.533 -4.830 4.144 -1.695 -2.395 0.440 -4.930 -1.131" Properties=species:S:1:pos:R:3 pbc="T T T"
Sr 0.000 0.000 0.000
Tb 2.138 -4.079 -4.178
Pt 1.069 -2.039 -2.089
Cu 3.206 -6.118 -6.268
```

As for the space-group type: F-43m (216). As for the calculated total energy: -4.603 eV/atom. The total moment comes out at 0.000 μB/atom. Its formation energy is -0.4902 eV/atom.

# 8
## SrTmCuPt (PBE)

Data for SrTmCuPt after structural relaxation.

```
4
Lattice="5.034 0.000 0.000 2.517 4.359 0.000 2.517 1.453 4.110" Properties=species:S:1:pos:R:3 pbc="T T T"
Sr 5.034 2.906 2.055
Pt 7.551 4.359 3.082
Cu 2.517 1.453 1.027
Tm 0.000 0.000 0.000
```

As for the space-group type: F-43m (216). As for the calculated total energy: -4.564 eV/atom. The total moment comes out at 0.000 μB/atom. Its formation energy is -0.4918 eV/atom.

Which value of calculated total energy does entry 2 give?
-4.130 eV/atom

calculated total energy of number 5 (SrCu5Pt2)?
-4.393 eV/atom